[1]
Computed, not measured: Ca2InTc at its PBEsol-relaxed geometry at the SCAN level of DFT.

a b c (Å): 3.472 5.186 5.186
angles (deg): 90.00 90.00 90.00
Atoms (fractional coordinates):
1 In 0.500 0.500 0.500
2 Ca 0.000 0.000 0.500
3 Ca 0.000 0.500 0.000
4 Tc 0.500 0.000 0.000

Space-group type   P4/mmm
VASP energy   -21.646 eV per atom
Calculated density   5211 kg/m³
Formation energy   115 kJ/mol of formula units


[2]
Computed, not measured: Ca4InTc at its PBEsol-relaxed geometry at the SCAN level of DFT.

a b c (Å): 6.074 6.074 6.074
angles (deg): 60.00 60.00 60.00
Atoms (fractional coordinates):
1 Ca 0.374 0.878 0.374
2 Ca 0.878 0.374 0.374
3 Ca 0.374 0.374 0.374
4 Ca 0.374 0.374 0.878
5 In 0.750 0.750 0.750
6 Tc 0.000 0.000 0.000

Space-group type   F-43m
VASP energy   -17.058 eV per atom
Calculated density   3911 kg/m³
Formation energy   458 kJ/mol of formula units


[3]
Computed, not measured: Ca3InTc at its PBEsol-relaxed geometry at the SCAN level of DFT.

a b c (Å): 5.339 5.339 5.339
angles (deg): 90.00 90.00 90.00
Atoms (fractional coordinates):
1 Ca 0.000 0.000 0.500
2 Ca 0.500 0.000 0.000
3 Ca 0.000 0.500 0.000
4 In 0.500 0.500 0.500
5 Tc 0.000 0.000 0.000

Space-group type   Pm-3m
VASP energy   -19.043 eV per atom
Calculated density   3634 kg/m³
Formation energy   214 kJ/mol of formula units